1.
The following is a PBE calculation of a relaxed Pm4Au2N crystal, from Alexandria via LeMat-Bulk.

Summary:
Size of the total moment ... 0.000 μB per atom

Lattice parameters (Å, degrees): 7.031 7.140 7.975 90.00 106.46 90.00
Atoms (fractional coordinates):
Pm1 0.013 0.009 0.253
Pm2 0.013 0.491 0.253
Pm3 0.418 0.250 0.591
Pm4 0.430 0.250 0.122
Pm5 0.570 0.750 0.878
Pm6 0.582 0.750 0.409
Pm7 0.987 0.509 0.747
Pm8 0.987 0.991 0.747
Au1 0.223 0.750 0.553
Au2 0.238 0.750 0.061
Au3 0.762 0.250 0.939
Au4 0.777 0.250 0.447
N1 0.239 0.250 0.306
N2 0.761 0.750 0.694

2.
The following is a PBE calculation of a relaxed Pm6Au3N crystal, from Alexandria via LeMat-Bulk.

Summary:
Size of the total moment ... 0.000 μB per atom

Lattice parameters (Å, degrees): 6.741 7.685 12.141 90.00 121.62 90.00
Atoms (fractional coordinates):
Pm1 0.083 0.042 0.229
Pm2 0.083 0.458 0.729
Pm3 0.207 0.709 0.067
Pm4 0.207 0.791 0.567
Pm5 0.366 0.160 0.059
Pm6 0.366 0.340 0.559
Pm7 0.634 0.660 0.441
Pm8 0.634 0.840 0.941
Pm9 0.793 0.209 0.433
Pm10 0.793 0.291 0.933
Pm11 0.917 0.542 0.271
Pm12 0.917 0.958 0.771
Au1 0.308 0.106 0.744
Au2 0.308 0.394 0.244
Au3 0.500 0.000 0.500
Au4 0.500 0.500 0.000
Au5 0.692 0.606 0.756
Au6 0.692 0.894 0.256
N1 0.000 0.000 0.000
N2 0.000 0.500 0.500

3.
The following is a PBE calculation of a relaxed Pm3AuN crystal, from Alexandria via LeMat-Bulk.

Summary:
Size of the total moment ... 0.000 μB per atom

Lattice parameters (Å, degrees): 6.820 6.820 9.713 90.00 90.00 148.34
Atoms (fractional coordinates):
Pm1 0.057 0.943 0.750
Pm2 0.376 0.624 0.557
Pm3 0.376 0.624 0.943
Pm4 0.624 0.376 0.057
Pm5 0.624 0.376 0.443
Pm6 0.943 0.057 0.250
Au1 0.250 0.750 0.250
Au2 0.750 0.250 0.750
N1 0.000 0.000 0.000
N2 0.000 0.000 0.500

4.
The following is a PBE calculation of a relaxed Pm4Au2N crystal, from Alexandria via LeMat-Bulk.

Summary:
Size of the total moment ... 0.000 μB per atom

Lattice parameters (Å, degrees): 8.177 8.177 8.177 145.00 145.00 50.34
Atoms (fractional coordinates):
Pm1 0.000 0.500 0.500
Pm2 0.174 0.174 0.000
Pm3 0.500 0.000 0.500
Pm4 0.826 0.826 0.000
Au1 0.371 0.371 0.000
Au2 0.629 0.629 0.000
N1 0.000 0.000 0.000

5.
The following is a PBE calculation of a relaxed Pm3Au2N crystal, from Alexandria via LeMat-Bulk.

Summary:
Size of the total moment ... 0.000 μB per atom

Lattice parameters (Å, degrees): 6.996 6.996 6.941 101.22 101.22 61.52
Atoms (fractional coordinates):
Pm1 0.093 0.907 0.750
Pm2 0.296 0.441 0.015
Pm3 0.441 0.296 0.515
Pm4 0.559 0.704 0.485
Pm5 0.704 0.559 0.985
Pm6 0.907 0.093 0.250
Au1 0.011 0.344 0.640
Au2 0.344 0.011 0.140
Au3 0.656 0.989 0.860
Au4 0.989 0.656 0.360
N1 0.418 0.582 0.750
N2 0.582 0.418 0.250

6.
The following is a PBE calculation of a relaxed Pm7Au4N crystal, from Alexandria via LeMat-Bulk.

Summary:
Size of the total moment ... 0.000 μB per atom

Lattice parameters (Å, degrees): 8.212 8.212 11.029 126.87 126.87 35.56
Atoms (fractional coordinates):
Pm1 0.000 0.000 0.000
Pm2 0.133 0.133 0.549
Pm3 0.279 0.279 0.147
Pm4 0.443 0.443 0.753
Pm5 0.557 0.557 0.247
Pm6 0.721 0.721 0.853
Pm7 0.867 0.867 0.451
Au1 0.088 0.088 0.789
Au2 0.229 0.229 0.371
Au3 0.771 0.771 0.629
Au4 0.912 0.912 0.211
N1 0.500 0.500 0.000

7.
The following is a PBE calculation of a relaxed Pm4AuN2 crystal, from Alexandria via LeMat-Bulk.

Summary:
Size of the total moment ... 0.000 μB per atom

Lattice parameters (Å, degrees): 6.455 6.455 13.253 90.00 90.00 146.56
Atoms (fractional coordinates):
Pm1 0.000 0.000 0.000
Pm2 0.000 0.000 0.500
Pm3 0.265 0.735 0.605
Pm4 0.265 0.735 0.895
Pm5 0.428 0.572 0.250
Pm6 0.572 0.428 0.750
Pm7 0.735 0.265 0.105
Pm8 0.735 0.265 0.395
Au1 0.111 0.889 0.250
Au2 0.889 0.111 0.750
N1 0.362 0.638 0.056
N2 0.362 0.638 0.444
N3 0.638 0.362 0.556
N4 0.638 0.362 0.944

8.
The following is a PBE calculation of a relaxed Pm3AuN crystal, from Alexandria via LeMat-Bulk.

Summary:
Size of the total moment ... 0.000 μB per atom

Lattice parameters (Å, degrees): 4.922 4.922 4.922 90.00 90.00 90.00
Atoms (fractional coordinates):
Pm1 0.000 0.000 0.500
Pm2 0.000 0.500 0.000
Pm3 0.500 0.000 0.000
Au1 0.500 0.500 0.500
N1 0.000 0.000 0.000

9.
The following is a PBE calculation of a relaxed Pm2AuN crystal, from Alexandria via LeMat-Bulk.

Summary:
Size of the total moment ... 0.000 μB per atom

Lattice parameters (Å, degrees): 7.668 7.668 7.668 27.79 27.79 27.79
Atoms (fractional coordinates):
Pm1 0.230 0.230 0.230
Pm2 0.770 0.770 0.770
Au1 0.000 0.000 0.000
N1 0.500 0.500 0.500

10.
The following is a PBE calculation of a relaxed Pm2AuN crystal, from Alexandria via LeMat-Bulk.

Summary:
Size of the total moment ... 0.000 μB per atom

Lattice parameters (Å, degrees): 3.227 3.227 7.438 90.00 90.00 90.00
Atoms (fractional coordinates):
Pm1 0.000 0.000 0.200
Pm2 0.000 0.000 0.800
Au1 0.500 0.500 0.500
N1 0.500 0.500 0.000

11.
The following is a PBE calculation of a relaxed Pm12Au6N crystal, from Alexandria via LeMat-Bulk.

Summary:
Size of the total moment ... 0.000 μB per atom

Lattice parameters (Å, degrees): 8.318 8.318 8.318 97.59 97.59 97.59
Atoms (fractional coordinates):
Pm1 0.005 0.937 0.696
Pm2 0.063 0.304 0.995
Pm3 0.190 0.567 0.421
Pm4 0.304 0.995 0.063
Pm5 0.421 0.190 0.567
Pm6 0.433 0.579 0.810
Pm7 0.567 0.421 0.190
Pm8 0.579 0.810 0.433
Pm9 0.696 0.005 0.937
Pm10 0.810 0.433 0.579
Pm11 0.937 0.696 0.005
Pm12 0.995 0.063 0.304
Au1 0.122 0.303 0.645
Au2 0.303 0.645 0.122
Au3 0.355 0.878 0.697
Au4 0.645 0.122 0.303
Au5 0.697 0.355 0.878
Au6 0.878 0.697 0.355
N1 0.000 0.000 0.000

12.
The following is a PBE calculation of a relaxed Pr3AuN crystal, from Alexandria via LeMat-Bulk.

Summary:
Size of the total moment ... 0.000 μB per atom

Lattice parameters (Å, degrees): 6.921 6.921 9.926 90.00 90.00 148.31
Atoms (fractional coordinates):
Pr1 0.059 0.941 0.750
Pr2 0.376 0.624 0.558
Pr3 0.376 0.624 0.942
Pr4 0.624 0.376 0.058
Pr5 0.624 0.376 0.442
Pr6 0.941 0.059 0.250
Au1 0.250 0.750 0.250
Au2 0.750 0.250 0.750
N1 0.000 0.000 0.000
N2 0.000 0.000 0.500

13.
The following is a PBE calculation of a relaxed Pr6Au3N crystal, from Alexandria via LeMat-Bulk.

Summary:
Size of the total moment ... 0.000 μB per atom

Lattice parameters (Å, degrees): 6.791 7.845 12.453 90.00 122.26 90.00
Atoms (fractional coordinates):
Pr1 0.082 0.043 0.228
Pr2 0.082 0.457 0.728
Pr3 0.209 0.712 0.066
Pr4 0.209 0.788 0.566
Pr5 0.372 0.159 0.060
Pr6 0.372 0.341 0.560
Pr7 0.628 0.659 0.440
Pr8 0.628 0.841 0.940
Pr9 0.791 0.212 0.434
Pr10 0.791 0.288 0.934
Pr11 0.918 0.543 0.272
Pr12 0.918 0.957 0.772
Au1 0.305 0.106 0.739
Au2 0.305 0.394 0.239
Au3 0.500 0.000 0.500
Au4 0.500 0.500 0.000
Au5 0.695 0.606 0.761
Au6 0.695 0.894 0.261
N1 0.000 0.000 0.000
N2 0.000 0.500 0.500

14.
The following is a PBE calculation of a relaxed Pr4AuN2 crystal, from Alexandria via LeMat-Bulk.

Summary:
Size of the total moment ... 0.001 μB per atom

Lattice parameters (Å, degrees): 6.570 6.570 13.434 90.00 90.00 146.45
Atoms (fractional coordinates):
Pr1 0.000 0.000 0.000
Pr2 0.000 0.000 0.500
Pr3 0.266 0.734 0.605
Pr4 0.266 0.734 0.895
Pr5 0.427 0.573 0.250
Pr6 0.573 0.427 0.750
Pr7 0.734 0.266 0.105
Pr8 0.734 0.266 0.395
Au1 0.110 0.890 0.250
Au2 0.890 0.110 0.750
N1 0.361 0.639 0.056
N2 0.361 0.639 0.444
N3 0.639 0.361 0.556
N4 0.639 0.361 0.944

15.
The following is a PBE calculation of a relaxed Pr3AuN crystal, from Alexandria via LeMat-Bulk.

Summary:
Size of the total moment ... 0.000 μB per atom

Lattice parameters (Å, degrees): 5.118 6.979 6.980 90.00 90.00 90.00
Atoms (fractional coordinates):
Pr1 0.000 0.062 0.000
Pr2 0.000 0.438 0.376
Pr3 0.000 0.562 0.876
Pr4 0.000 0.938 0.500
Pr5 0.500 0.250 0.688
Pr6 0.500 0.750 0.188
Au1 0.500 0.250 0.189
Au2 0.500 0.750 0.689
N1 0.000 0.250 0.688
N2 0.000 0.750 0.188

16.
The following is a PBE calculation of a relaxed Pr2AuN crystal, from Alexandria via LeMat-Bulk.

Summary:
Size of the total moment ... 0.000 μB per atom

Lattice parameters (Å, degrees): 3.293 3.293 7.495 90.00 90.00 90.00
Atoms (fractional coordinates):
Pr1 0.000 0.000 0.202
Pr2 0.000 0.000 0.798
Au1 0.500 0.500 0.500
N1 0.500 0.500 0.000

17.
The following is a PBE calculation of a relaxed Pr3AuN crystal, from Alexandria via LeMat-Bulk.

Summary:
Size of the total moment ... 0.000 μB per atom

Lattice parameters (Å, degrees): 5.016 5.016 5.016 90.00 90.00 90.00
Atoms (fractional coordinates):
Pr1 0.000 0.000 0.500
Pr2 0.000 0.500 0.000
Pr3 0.500 0.000 0.000
Au1 0.500 0.500 0.500
N1 0.000 0.000 0.000

18.
The following is a PBE calculation of a relaxed Pr8AuN4 crystal, from Alexandria via LeMat-Bulk.

Summary:
Size of the total moment ... 0.113 μB per atom

Lattice parameters (Å, degrees): 8.137 8.137 8.137 54.34 54.34 54.34
Atoms (fractional coordinates):
Pr1 0.235 0.235 0.235
Pr2 0.239 0.731 0.731
Pr3 0.269 0.269 0.761
Pr4 0.269 0.761 0.269
Pr5 0.731 0.239 0.731
Pr6 0.731 0.731 0.239
Pr7 0.761 0.269 0.269
Pr8 0.765 0.765 0.765
Au1 0.000 0.000 0.000
N1 0.000 0.000 0.500
N2 0.000 0.500 0.000
N3 0.500 0.000 0.000
N4 0.500 0.500 0.500

19.
The following is a PBE calculation of a relaxed Pr2AuN crystal, from Alexandria via LeMat-Bulk.

Summary:
Size of the total moment ... 0.000 μB per atom

Lattice parameters (Å, degrees): 7.756 7.756 7.756 28.02 28.02 28.02
Atoms (fractional coordinates):
Pr1 0.230 0.230 0.230
Pr2 0.770 0.770 0.770
Au1 0.000 0.000 0.000
N1 0.500 0.500 0.500

20.
The following is a PBE calculation of a relaxed Pr4Au2N crystal, from Alexandria via LeMat-Bulk.

Summary:
Size of the total moment ... 0.124 μB per atom

Lattice parameters (Å, degrees): 7.388 13.284 3.880 90.00 90.00 90.00
Atoms (fractional coordinates):
Pr1 0.104 0.184 0.000
Pr2 0.226 0.960 0.500
Pr3 0.274 0.460 0.500
Pr4 0.396 0.684 0.000
Pr5 0.604 0.316 0.000
Pr6 0.726 0.540 0.500
Pr7 0.774 0.040 0.500
Pr8 0.896 0.816 0.000
Au1 0.076 0.667 0.500
Au2 0.424 0.167 0.500
Au3 0.576 0.833 0.500
Au4 0.924 0.333 0.500
N1 0.000 0.000 0.000
N2 0.500 0.500 0.000

21.
The following is a PBE calculation of a relaxed Pr4Au2N crystal, from Alexandria via LeMat-Bulk.

Summary:
Size of the total moment ... 0.000 μB per atom

Lattice parameters (Å, degrees): 8.277 8.277 8.277 144.68 144.68 50.82
Atoms (fractional coordinates):
Pr1 0.000 0.500 0.500
Pr2 0.175 0.175 0.000
Pr3 0.500 0.000 0.500
Pr4 0.825 0.825 0.000
Au1 0.372 0.372 0.000
Au2 0.628 0.628 0.000
N1 0.000 0.000 0.000

We obtain E_form (uncorrected) values of -0.79; -0.72; -0.90; -0.82; -0.89; -0.60; -0.99; -0.82; -0.96; -0.55; -0.53; -0.83; -0.68; -0.91; -0.81; -0.50; -0.73; -0.82; -0.89; -0.71; -0.76 eV/atom for the records listed above, in that order.